[1]
## Mg2ZrCu (GGA-PBE)

Data for a relaxed structure of Mg2ZrCu.

```
4
Lattice="2.979 0.000 0.000 0.000 3.108 0.000 0.000 0.000 8.201" Properties=species:S:1:pos:R:3 pbc="T T T"
Mg 0.000 0.000 1.709
Mg 0.000 0.000 6.492
Zr 1.489 1.554 4.101
Cu 1.489 1.554 0.000
```

Summary:
Total magnetization   0.00 μB per formula unit
Formation energy from the elements   -12.8 meV per atom
Crystal system   orthorhombic
Total DFT energy (no corrections)   -3.971 eV per atom
Calculated volume   76 Å³/cell

---

[2]
## Sr2Li2RhO6 (GGA-PBE)

Data for a relaxed structure of Sr2Li2RhO6.

```
11
Lattice="3.028 -5.278 0.000 3.028 5.278 0.000 -1.110 0.000 5.054" Properties=species:S:1:pos:R:3 pbc="T T T"
Sr 3.028 3.562 0.000
Sr 3.028 -3.562 0.000
Li 2.473 1.164 2.527
Li 2.473 -1.164 2.527
Rh 3.028 0.000 0.000
O 1.131 1.458 3.947
O 1.458 0.000 1.184
O 1.131 -1.458 3.947
O 3.816 1.458 1.107
O 3.489 0.000 3.870
O 3.816 -1.458 1.107
```

Summary:
Total magnetization   3.03 μB per formula unit
Formation energy without anion corrections   -1.7015 eV/atom
Crystal system   monoclinic
Total DFT energy (no corrections)   -5.728 eV per atom
Calculated volume   162 Å³/cell

---

- What is the formula in the first record?
  Mg2ZrCu

---

Copy entry 1 word for word.
## Mg2ZrCu (GGA-PBE)

Data for a relaxed structure of Mg2ZrCu.

```
4
Lattice="2.979 0.000 0.000 0.000 3.108 0.000 0.000 0.000 8.201" Properties=species:S:1:pos:R:3 pbc="T T T"
Mg 0.000 0.000 1.709
Mg 0.000 0.000 6.492
Zr 1.489 1.554 4.101
Cu 1.489 1.554 0.000
```

Summary:
Total magnetization   0.00 μB per formula unit
Formation energy from the elements   -12.8 meV per atom
Crystal system   orthorhombic
Total DFT energy (no corrections)   -3.971 eV per atom
Calculated volume   76 Å³/cell

---

- What is the total magnetization in the first record?
  0.00 μB per formula unit